No. 1
## Pu2AgGe3 (PBE)

Data for a geometry-optimized Pu2AgGe3 structure.

E	-94.1	eV for the cell shown
symmetry	No. 69

a b c (Å): 5.8941 5.8941 8.5404
angles (deg): 107.99 107.99 96.03
Last column: nearest neighbours and their distance in Å.
Fractional positions:
Pu 0.2500 0.7500 0.5000  4 Ag 3.21, 8 Ge 3.21-3.22
Pu 0.7552 0.7552 0.0000  10 Ge 3.16-3.24, 2 Ag 3.22
Pu 0.7500 0.2500 0.5000  4 Ag 3.21, 8 Ge 3.21-3.22
Pu 0.2448 0.2448 0.0000  10 Ge 3.16-3.24, 2 Ag 3.22
Ag 0.3343 0.3343 0.6686  3 Ge 2.55-2.56
Ag 0.6657 0.6657 0.3314  3 Ge 2.55-2.56
Ge 0.6701 0.1657 0.8357  2 Ge 2.49-2.51, 1 Ag 2.55
Ge 0.8343 0.3299 0.1643  2 Ge 2.49-2.51, 1 Ag 2.55
Ge 0.3299 0.8343 0.1643  2 Ge 2.49-2.51, 1 Ag 2.55
Ge 0.1657 0.6701 0.8357  2 Ge 2.49-2.51, 1 Ag 2.55
Ge 0.8347 0.8347 0.6693  2 Ge 2.51, 1 Ag 2.56
Ge 0.1653 0.1653 0.3307  2 Ge 2.51, 1 Ag 2.56


No. 2
## K2RbHgH4 (PBE)

Data for a geometry-optimized K2RbHgH4 structure.

E	-16.5	eV for the cell shown
symmetry	No. 82

a b c (Å): 6.1495 6.1495 6.1495
angles (deg): 98.31 115.32 115.32
Last column: nearest neighbours and their distance in Å.
Fractional positions:
K 0.5000 0.7500 0.2500  4 H 2.68
K 0.0000 0.0000 0.0000  4 H 2.85
Rb 0.5000 0.2500 0.7500  4 H 2.85
Hg 0.0000 0.5000 0.5000  4 H 1.96
H 0.5987 0.3840 0.3624  1 Hg 1.96
H 0.9784 0.2147 0.6160  1 Hg 1.96
H 0.0216 0.6376 0.2363  1 Hg 1.96
H 0.4013 0.7637 0.7853  1 Hg 1.96


E of number 1 (Pu2AgGe3)?
-94.1 eV for the cell shown